Density functional theory data (PBE-GGA) for Ca2MnSi after structural relaxation.

For the uncorrected energy, the calculation gives -18.94 eV for the cell shown. The total magnetization is 3.04 μB per cell. As for the space group: Amm2.

a b c (Å): 4.2176 4.4798 5.8944
angles (deg): 67.65 90.00 90.00
Each line ends with the local moment (μB).
Fractional coordinates of all 4 atoms:
Mn 0.0000 0.6756 0.5239  3.35
Si 0.5000 0.5714 0.7323  -0.07
Ca 0.0000 0.9832 0.9085  -0.04
Ca 0.5000 0.2698 0.3353  -0.05